First-principles (PBE) data for a relaxed Rb3MgTe2O9 crystal, as listed in Alexandria via LeMat-Bulk.

abc: 5.8315 5.8315 7.1644
angles: 90.00 90.00 120.00
With the nearest neighbours (Å) after each atom.
Fractional positions:
1 Rb 0.0000 0.0000 0.0000  12 O 2.88-2.92
2 Rb 0.3333 0.6667 0.6619  12 O 2.92-2.95
3 Rb 0.6667 0.3333 0.3381  12 O 2.92-2.95
4 Mg 0.0000 0.0000 0.5000  6 O 2.19
5 Te 0.3333 0.6667 0.1752  6 O 1.91-2.10
6 Te 0.6667 0.3333 0.8248  6 O 1.91-2.10
7 O 0.0000 0.5000 0.0000  2 Te 2.10
8 O 0.1743 0.3486 0.3186  1 Te 1.91
9 O 0.1743 0.8257 0.3186  1 Te 1.91
10 O 0.3486 0.1743 0.6814  1 Te 1.91
11 O 0.5000 0.0000 0.0000  2 Te 2.10
12 O 0.5000 0.5000 0.0000  2 Te 2.10
13 O 0.6514 0.8257 0.3186  1 Te 1.91
14 O 0.8257 0.1743 0.6814  1 Te 1.91
15 O 0.8257 0.6514 0.6814  1 Te 1.91

Values from the calculation:
Symmetry: No. 164
M_tot (μB per formula unit): 0.53
DOS at the Fermi energy (states/eV/f.u.): 10.01
Formation energy from raw total energies (eV per formula unit): -19.36